Computed, not measured: a relaxed CoTeSe2 crystal at the PBE level of DFT.

a b c (Å): 3.5690 3.8227 8.1757
angles (deg): 90.00 90.00 90.00
Site moments in Bohr magnetons follow the coordinates.
Fractional coordinates of all 4 atoms:
Co (0.0000, 0.5000, 0.5000)  1.81
Se (0.0000, 0.0000, 0.0000)  0.01
Se (0.5000, 0.5000, 0.0000)  0.01
Te (0.5000, 0.0000, 0.5000)  0.16

E_form (uncorrected), meV/atom: 475.7

***

Computed, not measured: a relaxed CoTeSe2 crystal at the PBE level of DFT.

a b c (Å): 7.6907 7.6907 7.6907
angles (deg): 27.59 27.59 27.59
Fractional coordinates of all 4 atoms:
Co (0.7453, 0.7453, 0.7453)
Se (0.0334, 0.0334, 0.0334)
Se (0.2379, 0.2379, 0.2379)
Te (0.4834, 0.4834, 0.4834)

E_form (uncorrected), meV/atom: 15.1

***

Computed, not measured: a relaxed Co3Te2Se2 crystal at the PBE level of DFT.

a b c (Å): 3.7848 6.3619 6.3906
angles (deg): 118.68 107.22 90.00
Site moments in Bohr magnetons follow the coordinates.
Fractional coordinates of all 7 atoms:
Co (0.0000, 0.0000, 0.0000)  0.45
Co (0.7409, 0.7721, 0.4818)  0.13
Co (0.2591, 0.2279, 0.5182)  0.13
Te (0.6302, 0.2976, 0.2604)  0.00
Te (0.3698, 0.7024, 0.7396)  0.00
Se (0.8714, 0.1975, 0.7428)  0.00
Se (0.1286, 0.8025, 0.2572)  0.00

E_form (uncorrected), meV/atom: -199.5

***

Computed, not measured: a relaxed CoTe4Se crystal at the PBE level of DFT.

a b c (Å): 6.2266 6.2266 6.2266
angles (deg): 60.00 60.00 60.00
Site moments in Bohr magnetons follow the coordinates.
Fractional coordinates of all 6 atoms:
Co (0.7500, 0.7500, 0.7500)  2.14
Te (0.8772, 0.3743, 0.3743)  -0.02
Te (0.3743, 0.3743, 0.8772)  -0.02
Te (0.3743, 0.8772, 0.3743)  -0.02
Te (0.3743, 0.3743, 0.3743)  -0.02
Se (0.0000, 0.0000, 0.0000)  -0.20

Relative energy among the computed polymorphs, eV/atom: 0.9341
E_form (uncorrected), meV/atom: 962.1

***

Computed, not measured: a relaxed CoTeSe2 crystal at the PBE level of DFT.

a b c (Å): 3.8617 3.8587 5.6171
angles (deg): 89.99 90.00 90.00
Site moments in Bohr magnetons follow the coordinates.
Fractional coordinates of all 4 atoms:
Co (0.0000, 0.0000, 0.5000)  1.46
Se (0.0000, 0.0000, 0.0000)  0.03
Se (0.5000, 0.5000, 0.0000)  -0.02
Te (0.5000, 0.5000, 0.5000)  0.00

E_form (uncorrected), meV/atom: 248.2

***

Computed, not measured: a relaxed CoTe3Se crystal at the PBE level of DFT.

a b c (Å): 5.4178 5.4178 5.4178
angles (deg): 90.00 90.00 90.00
Site moments in Bohr magnetons follow the coordinates.
Fractional coordinates of all 5 atoms:
Te (0.0000, 0.5000, 0.0000)  0.10
Te (0.0000, 0.0000, 0.5000)  0.09
Te (0.5000, 0.0000, 0.0000)  0.06
Co (0.5000, 0.5000, 0.5000)  2.22
Se (0.0000, 0.0000, 0.0000)  -0.01

Relative energy among the computed polymorphs, eV/atom: 0.6733
E_form (uncorrected), meV/atom: 1102.7